# Ho2TmNpO8

Crystalline Ho2TmNpO8 at its relaxed geometry (PBE, Alexandria via LeMat-Bulk).

Geometry as extended XYZ:
```
12
Lattice="-0.682 4.795 1.452 -1.183 -1.675 4.621 6.672 0.389 1.848" Properties=species:S:1:pos:R:3 pbc="T T T"
O 2.766 1.149 2.782
O 4.071 -0.193 5.471
O 6.143 1.274 3.571
Ho 4.001 1.848 4.404
O 0.737 3.702 2.450
O 0.419 -0.405 4.460
Tm 3.336 0.194 0.924
Np 0.000 0.000 0.000
O 2.042 2.360 5.139
O 4.389 3.914 3.461
Ho 0.807 1.661 3.517
O -1.335 2.234 4.350
```

Energy relative to the elements, uncorrected (eV per formula unit): -38.58
Calculated density (g/cm3): 8.093
Uncorrected energy (eV per atom): -8.734